Entry 1:
The following is a PBE calculation of an optimized crystal structure of ZnGa14Sn, from Alexandria.

a b c (Å): 5.734 5.734 9.370
angles (deg): 90.00 90.00 89.99
Fractional coordinates of all 16 atoms:
Ga (0.127, 0.623, 0.754)
Ga (0.875, 0.875, 0.000)
Ga (0.375, 0.875, 0.000)
Ga (0.375, 0.875, 0.500)
Ga (0.623, 0.127, 0.754)
Ga (0.875, 0.375, 0.500)
Ga (0.127, 0.623, 0.246)
Ga (0.875, 0.375, 0.000)
Ga (0.375, 0.375, 0.000)
Ga (0.127, 0.127, 0.754)
Ga (0.623, 0.127, 0.246)
Ga (0.623, 0.623, 0.246)
Ga (0.623, 0.623, 0.754)
Ga (0.127, 0.127, 0.246)
Sn (0.875, 0.875, 0.500)
Zn (0.375, 0.375, 0.500)

- calculated volume (Å³ per cell) = 308.1
- symmetry = P4/mmm
- energy of formation (eV/atom) = 0.039

Entry 2:
The following is a PBE calculation of an optimized crystal structure of Zn2Ga10Sn, from Alexandria.

a b c (Å): 5.706 7.213 7.263
angles (deg): 81.06 66.87 66.70
Fractional coordinates of all 13 atoms:
Zn (0.000, 0.500, 0.000)
Zn (0.500, 0.500, 0.000)
Ga (0.350, 0.647, 0.653)
Ga (0.712, 0.785, 0.791)
Ga (0.503, 0.785, 0.209)
Ga (0.497, 0.215, 0.791)
Ga (0.650, 0.353, 0.347)
Ga (0.997, 0.353, 0.653)
Ga (0.003, 0.647, 0.347)
Ga (0.288, 0.215, 0.209)
Ga (0.500, 0.000, 0.500)
Ga (0.000, 0.000, 0.500)
Sn (0.000, 0.000, 0.000)

- calculated volume (Å³ per cell) = 252.5
- symmetry = Fmmm
- energy of formation (eV/atom) = 0.065

Entry 3:
The following is a PBE calculation of an optimized crystal structure of Zn2GaSn, from Alexandria.

a b c (Å): 4.172 4.172 6.029
angles (deg): 69.76 69.76 60.00
Fractional coordinates of all 4 atoms:
Zn (0.264, 0.264, 0.207)
Zn (0.069, 0.069, 0.794)
Ga (0.672, 0.672, 0.985)
Sn (0.495, 0.495, 0.514)

- calculated volume (Å³ per cell) = 83.3
- energy above the most stable polymorph in this dataset (eV/f.u.) = 0.07
- symmetry = R3m
- energy of formation (eV/atom) = 0.113

Entry 4:
The following is a PBE calculation of an optimized crystal structure of ZnGa3Sn, from Alexandria.

a b c (Å): 5.422 5.422 5.422
angles (deg): 90.00 90.00 90.00
Fractional coordinates of all 5 atoms:
Sn (0.000, 0.000, 0.000)
Ga (0.500, 0.000, 0.000)
Ga (0.000, 0.000, 0.500)
Ga (0.000, 0.500, 0.000)
Zn (0.500, 0.500, 0.500)

- calculated volume (Å³ per cell) = 159.4
- energy above the most stable polymorph in this dataset (eV/f.u.) = 2.89
- symmetry = Pm-3m
- energy of formation (eV/atom) = 0.619